The following is a GGA-PBE calculation of an optimized crystal structure of Th6Te3RuPt2, from Alexandria.

Cell and atoms, written as POSCAR:
```
Th6Te3RuPt2
1.0
9.789 -2.115 0.000
9.789 2.115 0.000
-2.988 0.000 8.595
Th Te Ru Pt
6 3 1 2
direct
0.007 0.007 0.219
0.325 0.325 0.440
0.349 0.349 0.900
0.651 0.651 0.100
0.675 0.675 0.560
0.993 0.993 0.781
0.169 0.169 0.833
0.500 0.500 0.500
0.831 0.831 0.167
0.500 0.500 0.000
0.166 0.166 0.333
0.834 0.834 0.667
```

Output
Symmetry = C2/m (12)
Formation energy from raw total energies = -1088 meV per atom
Total moment = 0.00 μB per cell